{"formula": "Tl2SiP", "functional": "PBE-GGA", "state": "optimized geometry", "lattice": [[3.2066, -4.7117, 0.0000], [3.2066, 4.7117, 0.0000], [-0.6149, 0.0000, 3.0623]], "species": ["Tl", "Tl", "Si", "P"], "frac_coords": [[0.0000, 0.5000, 0.0000], [0.5000, 0.0000, 0.0000], [0.0000, 0.0000, 0.5000], [0.5000, 0.5000, 0.5000]], "dos_ef_per_ev_cell": 1.475, "total_magnetization_mub_per_fu": 0.0, "volume_a3_per_cell": 93, "space_group": "C2/m, No. 12", "e_form_raw_ev_per_atom": 0.617}

***

{"formula": "TlSiP2", "functional": "PBE-GGA", "state": "optimized geometry", "lattice": [[3.2205, 0.0000, 0.0000], [0.0000, 4.9217, 0.0000], [-0.7343, 0.0000, 5.5862]], "species": ["Tl", "Si", "P", "P"], "frac_coords": [[0.0000, 0.0000, 0.0000], [0.5000, 0.0000, 0.5000], [0.2806, 0.5000, 0.6343], [0.7194, 0.5000, 0.3657]], "dos_ef_per_ev_cell": 1.441, "total_magnetization_mub_per_fu": 0.0, "volume_a3_per_cell": 89, "space_group": "P2/m, No. 10", "e_form_raw_ev_per_atom": 0.326}

***

{"formula": "Tl2SiP", "functional": "PBE-GGA", "state": "optimized geometry", "lattice": [[-1.7090, 1.7247, 8.4487], [1.7090, -1.7247, 8.4487], [1.7090, 1.7247, -8.4487]], "species": ["Tl", "Tl", "Si", "P"], "frac_coords": [[0.1611, 0.1611, 0.0000], [0.8389, 0.8389, 0.0000], [0.0000, 0.5000, 0.5000], [0.5000, 0.0000, 0.5000]], "dos_ef_per_ev_cell": 2.486, "total_magnetization_mub_per_fu": 0.0, "volume_a3_per_cell": 100, "space_group": "Immm, No. 71", "e_form_raw_ev_per_atom": 0.171}

***

{"formula": "Tl2SiP", "functional": "PBE-GGA", "state": "optimized geometry", "lattice": [[2.0532, -2.5289, 0.0000], [2.0532, 2.5289, 0.0000], [0.0000, 0.0000, 8.9599]], "species": ["Tl", "Tl", "Si", "P"], "frac_coords": [[0.0000, 0.0000, 0.2446], [0.0000, 0.0000, 0.7554], [0.5000, 0.5000, 0.5000], [0.5000, 0.5000, 0.0000]], "dos_ef_per_ev_cell": 1.826, "total_magnetization_mub_per_fu": 0.0, "volume_a3_per_cell": 93, "space_group": "Cmmm, No. 65", "e_form_raw_ev_per_atom": 0.638}

***

{"formula": "TlSi2P", "functional": "PBE-GGA", "state": "optimized geometry", "lattice": [[4.7169, 0.0000, 0.0000], [0.0000, 3.4406, 0.0000], [-1.4468, 0.0000, 5.2223]], "species": ["Tl", "Si", "Si", "P"], "frac_coords": [[0.0000, 0.0000, 0.0000], [0.2388, 0.5000, 0.6547], [0.7612, 0.5000, 0.3453], [0.5000, 0.0000, 0.5000]], "dos_ef_per_ev_cell": 1.447, "total_magnetization_mub_per_fu": 0.0, "volume_a3_per_cell": 85, "space_group": "P2/m, No. 10", "e_form_raw_ev_per_atom": 0.344}

***

{"formula": "TlSi2P", "functional": "PBE-GGA", "state": "optimized geometry", "lattice": [[3.2886, 0.0000, 0.0000], [0.0000, 3.2886, 0.0000], [0.0000, 0.0000, 7.2610]], "species": ["Tl", "Si", "Si", "P"], "frac_coords": [[0.0000, 0.0000, 0.0000], [0.5000, 0.5000, 0.3318], [0.5000, 0.5000, 0.6682], [0.0000, 0.0000, 0.5000]], "dos_ef_per_ev_cell": 1.998, "total_magnetization_mub_per_fu": 0.0, "volume_a3_per_cell": 79, "space_group": "P4/mmm, No. 123", "e_form_raw_ev_per_atom": 0.421}

***

{"formula": "TlSi2P", "functional": "PBE-GGA", "state": "optimized geometry", "lattice": [[3.3086, 0.0000, 0.0000], [0.0000, 3.3086, 0.0000], [0.0000, 0.0000, 7.3791]], "species": ["Tl", "Si", "Si", "P"], "frac_coords": [[0.0000, 0.0000, 0.0000], [0.0000, 0.0000, 0.4839], [0.5000, 0.5000, 0.6729], [0.5000, 0.5000, 0.3545]], "dos_ef_per_ev_cell": 1.957, "total_magnetization_mub_per_fu": 0.0, "volume_a3_per_cell": 81, "space_group": "P4mm, No. 99", "e_form_raw_ev_per_atom": 0.356}

***

{"formula": "TlSi2P", "functional": "PBE-GGA", "state": "optimized geometry", "lattice": [[-1.6776, 2.8029, 4.4056], [1.6776, -2.8029, 4.4056], [1.6776, 2.8029, -4.4056]], "species": ["Tl", "Si", "Si", "P"], "frac_coords": [[0.0000, 0.0000, 0.0000], [0.3080, 0.8080, 0.5000], [0.6920, 0.1920, 0.5000], [0.5000, 0.5000, 0.0000]], "dos_ef_per_ev_cell": 1.585, "total_magnetization_mub_per_fu": 0.0, "volume_a3_per_cell": 83, "space_group": "Immm, No. 71", "e_form_raw_ev_per_atom": 0.499}

***

{"formula": "Tl2SiP", "functional": "PBE-GGA", "state": "optimized geometry", "lattice": [[4.0333, 0.0000, 0.0000], [0.0000, 3.4629, 0.0000], [-1.9031, 0.0000, 7.4691]], "species": ["Tl", "Tl", "Si", "P"], "frac_coords": [[0.0000, 0.0000, 0.0000], [0.3179, 0.5000, 0.6462], [0.6060, 0.5000, 0.2259], [0.7110, 0.0000, 0.4194]], "dos_ef_per_ev_cell": 1.241, "total_magnetization_mub_per_fu": 0.0, "volume_a3_per_cell": 104, "space_group": "Pm, No. 6", "e_form_raw_ev_per_atom": 0.160}

***

{"formula": "TlSiP2", "functional": "PBE-GGA", "state": "optimized geometry", "lattice": [[1.7011, 0.9821, 7.9760], [-1.7011, 0.9821, 7.9760], [0.0000, -1.9642, 7.9760]], "species": ["Tl", "Si", "P", "P"], "frac_coords": [[0.0000, 0.0000, 0.0000], [0.2327, 0.2327, 0.2327], [0.5014, 0.5014, 0.5014], [0.7803, 0.7803, 0.7803]], "dos_ef_per_ev_cell": 1.652, "total_magnetization_mub_per_fu": 0.0, "volume_a3_per_cell": 80, "space_group": "R3m, No. 160", "e_form_raw_ev_per_atom": 0.310}

***

{"formula": "TlSiP2", "functional": "PBE-GGA", "state": "optimized geometry", "lattice": [[-3.2268, 3.2268, 4.4063], [3.2268, -3.2268, 4.4063], [3.2268, 3.2268, -4.4063]], "species": ["Tl", "Tl", "Si", "Si", "P", "P", "P", "P"], "frac_coords": [[0.0000, 0.0000, 0.0000], [0.7500, 0.2500, 0.5000], [0.2500, 0.7500, 0.5000], [0.5000, 0.5000, 0.0000], [0.1993, 0.6250, 0.0743], [0.3750, 0.4493, 0.5743], [0.5507, 0.1250, 0.9257], [0.8750, 0.8007, 0.4257]], "dos_ef_per_ev_cell": 4.093, "total_magnetization_mub_per_fu": 0.0, "volume_a3_per_cell": 184, "space_group": "I-42d, No. 122", "e_form_raw_ev_per_atom": 0.084}

***

{"formula": "TlSi2P", "functional": "PBE-GGA", "state": "optimized geometry", "lattice": [[-2.2655, 2.2655, 3.7181], [2.2655, -2.2655, 3.7181], [2.2655, 2.2655, -3.7181]], "species": ["Tl", "Si", "Si", "P"], "frac_coords": [[0.0000, 0.0000, 0.0000], [0.2500, 0.7500, 0.5000], [0.7500, 0.2500, 0.5000], [0.5000, 0.5000, 0.0000]], "dos_ef_per_ev_cell": 1.750, "total_magnetization_mub_per_fu": 0.0, "volume_a3_per_cell": 76, "space_group": "I4/mmm, No. 139", "e_form_raw_ev_per_atom": 0.774}

***

{"formula": "TlSi2P", "functional": "PBE-GGA", "state": "optimized geometry", "lattice": [[4.8715, -1.6541, 0.0000], [4.8715, 1.6541, 0.0000], [-2.5913, 0.0000, 5.6049]], "species": ["Tl", "Si", "Si", "P"], "frac_coords": [[0.0000, 0.0000, 0.0000], [0.2221, 0.2221, 0.5929], [0.5142, 0.5142, 0.5029], [0.8281, 0.8281, 0.4144]], "dos_ef_per_ev_cell": 0.981, "total_magnetization_mub_per_fu": 0.0, "volume_a3_per_cell": 90, "space_group": "Cm, No. 8", "e_form_raw_ev_per_atom": 0.356}

***

{"formula": "TlSi2P", "functional": "PBE-GGA", "state": "optimized geometry", "lattice": [[-2.9015, 2.9015, 5.5451], [2.9015, -2.9015, 5.5451], [2.9015, 2.9015, -5.5451]], "species": ["Tl", "Tl", "Si", "Si", "Si", "Si", "P", "P"], "frac_coords": [[0.0000, 0.0000, 0.0000], [0.7500, 0.2500, 0.5000], [0.1695, 0.6250, 0.0445], [0.3750, 0.4195, 0.5445], [0.5805, 0.1250, 0.9555], [0.8750, 0.8305, 0.4555], [0.2500, 0.7500, 0.5000], [0.5000, 0.5000, 0.0000]], "dos_ef_per_ev_cell": 0.000, "total_magnetization_mub_per_fu": 0.0, "volume_a3_per_cell": 187, "space_group": "I-42d, No. 122", "e_form_raw_ev_per_atom": 0.269}

***

{"formula": "YTl2SiP", "functional": "PBE-GGA", "state": "optimized geometry", "lattice": [[5.0692, 0.0000, 0.0000], [0.0000, 5.0692, 0.0000], [0.0000, 0.0000, 5.6144]], "species": ["Y", "Tl", "Tl", "Si", "P"], "frac_coords": [[0.0000, 0.0000, 0.0000], [0.0000, 0.5000, 0.5000], [0.5000, 0.0000, 0.5000], [0.0000, 0.0000, 0.5000], [0.5000, 0.5000, 0.0000]], "dos_ef_per_ev_cell": 1.769, "total_magnetization_mub_per_fu": 0.0, "volume_a3_per_cell": 144, "space_group": "P4/mmm, No. 123", "e_form_raw_ev_per_atom": 0.334}

***

{"formula": "TmSiP", "functional": "PBE-GGA", "state": "optimized geometry", "lattice": [[2.3117, 1.3347, 7.0342], [-2.3117, 1.3347, 7.0342], [0.0000, -2.6694, 7.0342]], "species": ["Tm", "Tm", "Si", "Si", "P", "P"], "frac_coords": [[0.0885, 0.0885, 0.0885], [0.9115, 0.9115, 0.9115], [0.3291, 0.3291, 0.3291], [0.6709, 0.6709, 0.6709], [0.2220, 0.2220, 0.2220], [0.7780, 0.7780, 0.7780]], "dos_ef_per_ev_cell": 0.920, "total_magnetization_mub_per_fu": 0.0, "volume_a3_per_cell": 130, "space_group": "R-3m, No. 166", "e_form_raw_ev_per_atom": -0.678}

***

{"formula": "Tm2SiP", "functional": "PBE-GGA", "state": "optimized geometry", "lattice": [[1.9309, 1.1148, 6.9750], [-1.9309, 1.1148, 6.9750], [0.0000, -2.2296, 6.9750]], "species": ["Tm", "Tm", "Si", "P"], "frac_coords": [[0.2442, 0.2442, 0.2442], [0.7558, 0.7558, 0.7558], [0.0000, 0.0000, 0.0000], [0.5000, 0.5000, 0.5000]], "dos_ef_per_ev_cell": 0.604, "total_magnetization_mub_per_fu": 0.0, "volume_a3_per_cell": 90, "space_group": "R-3m, No. 166", "e_form_raw_ev_per_atom": -1.036}

***

{"formula": "Tm2SiP", "functional": "PBE-GGA", "state": "optimized geometry", "lattice": [[2.0434, -10.8902, 0.0000], [2.0434, 10.8902, 0.0000], [0.0000, 0.0000, 3.8456]], "species": ["Tm", "Tm", "Tm", "Tm", "Si", "Si", "P", "P"], "frac_coords": [[0.0664, 0.9336, 0.7500], [0.3137, 0.6863, 0.7500], [0.6863, 0.3137, 0.2500], [0.9336, 0.0664, 0.2500], [0.4623, 0.5377, 0.7500], [0.5377, 0.4623, 0.2500], [0.1883, 0.8117, 0.7500], [0.8117, 0.1883, 0.2500]], "dos_ef_per_ev_cell": 2.339, "total_magnetization_mub_per_fu": 0.0, "volume_a3_per_cell": 171, "space_group": "Cmcm, No. 63", "e_form_raw_ev_per_atom": -1.193}

***

{"formula": "U3SiP6", "functional": "PBE-GGA", "state": "optimized geometry", "lattice": [[5.2133, -6.6159, 0.0000], [5.2133, 6.6159, 0.0000], [0.0000, 0.0000, 6.3087]], "species": ["U", "U", "U", "U", "U", "U", "Si", "Si", "P", "P", "P", "P", "P", "P", "P", "P", "P", "P", "P", "P"], "frac_coords": [[0.1114, 0.8886, 0.5000], [0.2194, 0.4191, 0.4459], [0.4191, 0.2194, 0.9459], [0.5809, 0.7806, 0.4459], [0.7806, 0.5809, 0.9459], [0.8886, 0.1114, 0.0000], [0.3047, 0.6953, 0.8667], [0.6953, 0.3047, 0.3667], [0.0611, 0.5899, 0.7108], [0.1398, 0.1738, 0.7224], [0.1738, 0.1398, 0.2224], [0.2864, 0.7136, 0.2282], [0.4101, 0.9389, 0.7108], [0.4689, 0.5311, 0.7438], [0.5311, 0.4689, 0.2438], [0.5899, 0.0611, 0.2108], [0.7136, 0.2864, 0.7282], [0.8262, 0.8602, 0.7224], [0.8602, 0.8262, 0.2224], [0.9389, 0.4101, 0.2108]], "dos_ef_per_ev_cell": 32.494, "total_magnetization_mub_per_fu": 4.0, "volume_a3_per_cell": 435, "space_group": "Cmc2_1, No. 36", "e_form_raw_ev_per_atom": -0.472}

***

{"formula": "U4SiP", "functional": "PBE-GGA", "state": "optimized geometry", "lattice": [[-2.3432, 2.9046, 3.9946], [2.3432, -2.9046, 3.9946], [2.3432, 2.9046, -3.9946]], "species": ["U", "U", "U", "U", "Si", "P"], "frac_coords": [[0.0821, 0.8340, 0.2480], [0.4140, 0.1660, 0.2480], [0.5860, 0.8340, 0.7520], [0.9179, 0.1660, 0.7520], [0.0000, 0.5000, 0.5000], [0.5000, 0.5000, 0.0000]], "dos_ef_per_ev_cell": 12.550, "total_magnetization_mub_per_fu": 0.0, "volume_a3_per_cell": 109, "space_group": "Immm, No. 71", "e_form_raw_ev_per_atom": -0.077}

***

{"formula": "V12SiP6", "functional": "PBE-GGA", "state": "optimized geometry", "lattice": [[5.0634, 2.9234, 3.1001], [-5.0634, 2.9234, 3.1001], [0.0000, -5.8467, 3.1001]], "species": ["V", "V", "V", "V", "V", "V", "V", "V", "V", "V", "V", "V", "Si", "P", "P", "P", "P", "P", "P"], "frac_coords": [[0.0079, 0.6512, 0.9266], [0.0734, 0.9921, 0.3488], [0.1856, 0.4122, 0.5470], [0.3488, 0.0734, 0.9921], [0.4122, 0.5470, 0.1856], [0.4530, 0.8144, 0.5878], [0.5470, 0.1856, 0.4122], [0.5878, 0.4530, 0.8144], [0.6512, 0.9266, 0.0079], [0.8144, 0.5878, 0.4530], [0.9266, 0.0079, 0.6512], [0.9921, 0.3488, 0.0734], [0.0000, 0.0000, 0.0000], [0.1347, 0.6573, 0.3325], [0.3325, 0.1347, 0.6573], [0.3427, 0.6675, 0.8653], [0.6573, 0.3325, 0.1347], [0.6675, 0.8653, 0.3427], [0.8653, 0.3427, 0.6675]], "dos_ef_per_ev_cell": 21.735, "total_magnetization_mub_per_fu": 0.0, "volume_a3_per_cell": 275, "space_group": "R-3, No. 148", "e_form_raw_ev_per_atom": -0.337}

***

{"formula": "V2SiP", "functional": "PBE-GGA", "state": "optimized geometry", "lattice": [[4.5601, 0.0000, 0.0000], [0.0000, 3.9140, 0.0000], [-2.0977, 0.0000, 5.8098]], "species": ["V", "V", "V", "V", "Si", "Si", "P", "P"], "frac_coords": [[0.2216, 0.2500, 0.4318], [0.2361, 0.2500, 0.9326], [0.7639, 0.7500, 0.0674], [0.7784, 0.7500, 0.5682], [0.3223, 0.7500, 0.2080], [0.6777, 0.2500, 0.7920], [0.3348, 0.7500, 0.7063], [0.6652, 0.2500, 0.2937]], "dos_ef_per_ev_cell": 6.491, "total_magnetization_mub_per_fu": 0.1, "volume_a3_per_cell": 104, "space_group": "P2_1/m, No. 11", "e_form_raw_ev_per_atom": -0.481}

***

{"formula": "V6SiP", "functional": "PBE-GGA", "state": "optimized geometry", "lattice": [[2.7069, 1.5629, 4.6778], [-2.7069, 1.5629, 4.6778], [0.0000, -3.1257, 4.6778]], "species": ["V", "V", "V", "V", "V", "V", "Si", "P"], "frac_coords": [[0.0201, 0.4945, 0.7366], [0.2634, 0.9799, 0.5055], [0.4945, 0.7366, 0.0201], [0.5055, 0.2634, 0.9799], [0.7366, 0.0201, 0.4945], [0.9799, 0.5055, 0.2634], [0.0000, 0.0000, 0.0000], [0.5000, 0.5000, 0.5000]], "dos_ef_per_ev_cell": 5.708, "total_magnetization_mub_per_fu": 0.0, "volume_a3_per_cell": 119, "space_group": "R-3, No. 148", "e_form_raw_ev_per_atom": 0.110}

***

{"formula": "V2SiP", "functional": "PBE-GGA", "state": "optimized geometry", "lattice": [[-3.3013, 3.3013, 2.6043], [3.3013, -3.3013, 2.6043], [3.3013, 3.3013, -2.6043]], "species": ["V", "V", "V", "V", "Si", "Si", "P", "P"], "frac_coords": [[0.0910, 0.6250, 0.9660], [0.3750, 0.3410, 0.4660], [0.6590, 0.1250, 0.0340], [0.8750, 0.9090, 0.5340], [0.2500, 0.7500, 0.5000], [0.5000, 0.5000, 0.0000], [0.0000, 0.0000, 0.0000], [0.7500, 0.2500, 0.5000]], "dos_ef_per_ev_cell": 7.191, "total_magnetization_mub_per_fu": 0.0, "volume_a3_per_cell": 114, "space_group": "I-42d, No. 122", "e_form_raw_ev_per_atom": -0.026}

***

{"formula": "VSiP2", "functional": "PBE-GGA", "state": "optimized geometry", "lattice": [[-2.7894, 2.7894, 5.0215], [2.7894, -2.7894, 5.0215], [2.7894, 2.7894, -5.0215]], "species": ["V", "V", "Si", "Si", "P", "P", "P", "P"], "frac_coords": [[0.0000, 0.0000, 0.0000], [0.7500, 0.2500, 0.5000], [0.2500, 0.7500, 0.5000], [0.5000, 0.5000, 0.0000], [0.1478, 0.6250, 0.0228], [0.3750, 0.3978, 0.5228], [0.6022, 0.1250, 0.9772], [0.8750, 0.8522, 0.4772]], "dos_ef_per_ev_cell": 2.702, "total_magnetization_mub_per_fu": 2.9, "volume_a3_per_cell": 156, "space_group": "I-42d, No. 122", "e_form_raw_ev_per_atom": -0.101}

***

{"formula": "V6Si3P", "functional": "PBE-GGA", "state": "optimized geometry", "lattice": [[4.6150, -5.6005, 0.0000], [4.6150, 5.6005, 0.0000], [0.0000, 0.0000, 5.6838]], "species": ["V", "V", "V", "V", "V", "V", "V", "V", "V", "V", "V", "V", "Si", "Si", "Si", "Si", "Si", "Si", "P", "P"], "frac_coords": [[0.0251, 0.9749, 0.5000], [0.0845, 0.5763, 0.5274], [0.2482, 0.7518, 0.1445], [0.2617, 0.4015, 0.0851], [0.4015, 0.2617, 0.5851], [0.4237, 0.9155, 0.5274], [0.5763, 0.0845, 0.0274], [0.5985, 0.7383, 0.0851], [0.7383, 0.5985, 0.5851], [0.7518, 0.2482, 0.6445], [0.9155, 0.4237, 0.0274], [0.9749, 0.0251, 0.0000], [0.0925, 0.2797, 0.7273], [0.2797, 0.0925, 0.2273], [0.4217, 0.5783, 0.4259], [0.5783, 0.4217, 0.9259], [0.7203, 0.9075, 0.7273], [0.9075, 0.7203, 0.2273], [0.1651, 0.8349, 0.7827], [0.8349, 0.1651, 0.2827]], "dos_ef_per_ev_cell": 13.982, "total_magnetization_mub_per_fu": 0.0, "volume_a3_per_cell": 294, "space_group": "Cmc2_1, No. 36", "e_form_raw_ev_per_atom": -0.193}